[1]
TlCuSi: optimized geometry, GGA-PBE.

The structure belongs to space group P2_1/m (No. 11); the cell edges are 4.631, 4.013 and 7.208 Å and the angles 90.00°, 93.51° and 90.00°. The asymmetric unit holds Tl at (0.246, 0.250, 0.358), Cu at (0.355, 0.750, 0.014) and Si at (0.127, 0.250, 0.898).


[2]
TlCuSi2: optimized geometry, GGA-PBE.

The structure belongs to space group Cmmm (No. 65); the cell edges are 5.314, 7.246 and 3.880 Å and the angles 90.00°, 90.00° and 90.00°. The asymmetric unit holds Tl at (0.000, 0.000, 0.000), Cu at (0.000, 0.500, 0.000) and Si at (0.250, 0.250, 0.500).


[3]
TlCuSi: optimized geometry, GGA-PBE.

The structure belongs to space group P-6m2 (No. 187); the cell edges are 4.0806, 4.0806 and 4.1816 Å and the angles 90.00°, 90.00° and 120.00°. The asymmetric unit holds Tl at (0.0000, 0.0000, 0.0000), Cu at (0.6667, 0.3333, 0.5000) and Si at (0.3333, 0.6667, 0.5000).


[4]
TlCuSi2: optimized geometry, GGA-PBE.

The structure belongs to space group Cmmm (No. 65); the cell edges are 4.095, 4.557 and 8.204 Å and the angles 90.00°, 90.00° and 90.00°. The asymmetric unit holds Tl at (0.000, 0.000, 0.000), Cu at (0.000, 0.000, 0.500) and Si at (0.000, 0.500, 0.331).


no.,ΔE_f (raw) (eV/atom),DOS at the Fermi energy (states/eV/atom)
1,0.142,0.26
2,0.629,0.40
3,0.317,0.37
4,0.379,0.25